1.
# GGA-PBEsol LiCuCO3, optimized geometry
# Symmetry: P2_1/c (14)
# Total DFT energy (no corrections), eV per atom: -6.64
# Spin magnetization, μB per cell: 0.0
# Formation energy without anion corrections, eV/atom: -1.355
data_LiCuCO3
_cell_length_a 3.002
_cell_length_b 4.637
_cell_length_c 16.568
_cell_angle_alpha 95.47
_cell_angle_beta 90.00
_cell_angle_gamma 90.00
_space_group_name_H-M_alt 'P 1'
_space_group_IT_number 1
loop_
_space_group_symop_operation_xyz
'x,y,z'
loop_
_atom_site_label
_atom_site_fract_x
_atom_site_fract_y
_atom_site_fract_z
O1 0.242 0.854 0.187
O2 0.492 0.844 0.061
O3 0.259 0.132 0.825
O4 0.758 0.854 0.687
O5 0.009 0.551 0.388
O6 0.741 0.132 0.325
O7 0.009 0.143 0.951
O8 0.991 0.143 0.451
O9 0.507 0.844 0.561
O10 0.991 0.551 0.888
O11 0.490 0.435 0.624
O12 0.510 0.435 0.124
C1 0.418 0.711 0.124
C2 0.582 0.711 0.624
C3 0.083 0.276 0.889
C4 0.917 0.276 0.389
Li1 0.996 0.170 0.068
Li2 0.495 0.817 0.445
Li3 0.505 0.817 0.945
Li4 0.004 0.170 0.568
Cu1 0.432 0.290 0.728
Cu2 0.932 0.697 0.784
Cu3 0.568 0.290 0.228
Cu4 0.068 0.697 0.284

=====

2.
# GGA-PBEsol LiCu2C3O9, optimized geometry
# Symmetry: P1 (1)
# Total DFT energy (no corrections), eV per atom: -6.89
# Spin magnetization, μB per cell: 1.4
# Formation energy without anion corrections, eV/atom: -1.102
data_LiCu2C3O9
_cell_length_a 7.428
_cell_length_b 7.464
_cell_length_c 7.719
_cell_angle_alpha 108.92
_cell_angle_beta 111.58
_cell_angle_gamma 106.29
_space_group_name_H-M_alt 'P 1'
_space_group_IT_number 1
loop_
_space_group_symop_operation_xyz
'x,y,z'
loop_
_atom_site_label
_atom_site_fract_x
_atom_site_fract_y
_atom_site_fract_z
Li1 0.511 0.265 0.730
Li2 0.010 0.873 0.994
O1 0.587 0.934 0.931
O2 0.807 0.450 0.751
O3 0.761 0.701 0.341
O4 0.588 0.964 0.272
O5 0.228 0.759 0.054
O6 0.638 0.384 0.060
O7 0.244 0.113 0.011
O8 0.665 0.370 0.410
O9 0.614 0.061 0.709
O10 0.003 0.292 0.162
O11 0.332 0.399 0.450
O12 0.160 0.073 0.686
O13 0.394 0.702 0.313
O14 0.735 0.824 0.749
O15 0.962 0.658 0.198
O16 0.162 0.345 0.908
O17 0.941 0.308 0.548
O18 0.057 0.076 0.283
C1 0.645 0.946 0.793
C2 0.811 0.377 0.582
C3 0.138 0.260 0.301
C4 0.187 0.174 0.875
C5 0.406 0.810 0.213
C6 0.786 0.575 0.197
Cu1 0.890 0.016 0.460
Cu2 0.596 0.155 0.142
Cu3 0.061 0.486 0.062
Cu4 0.557 0.574 0.422

=====

3.
# GGA-PBEsol Li2Cu3C3O9, optimized geometry
# Symmetry: Pm (6)
# Total DFT energy (no corrections), eV per atom: -6.66
# Spin magnetization, μB per cell: 2.1
# Formation energy without anion corrections, eV/atom: -1.180
data_Li2Cu3C3O9
_cell_length_a 6.072
_cell_length_b 8.000
_cell_length_c 8.070
_cell_angle_alpha 119.84
_cell_angle_beta 90.00
_cell_angle_gamma 90.00
_space_group_name_H-M_alt 'P 1'
_space_group_IT_number 1
loop_
_space_group_symop_operation_xyz
'x,y,z'
loop_
_atom_site_label
_atom_site_fract_x
_atom_site_fract_y
_atom_site_fract_z
O1 0.500 0.752 0.229
O2 0.248 0.446 0.586
O3 0.000 0.802 0.934
O4 0.000 0.058 0.888
O5 0.500 0.074 0.875
O6 0.269 0.419 0.850
O7 0.752 0.446 0.586
O8 0.000 0.104 0.186
O9 0.000 0.769 0.530
O10 0.236 0.154 0.562
O11 0.000 0.753 0.244
O12 0.764 0.154 0.562
O13 0.500 0.478 0.242
O14 0.000 0.480 0.262
O15 0.731 0.419 0.850
O16 0.500 0.117 0.174
O17 0.500 0.763 0.514
O18 0.500 0.818 0.921
C1 0.500 0.003 0.992
C2 0.000 0.989 0.001
C3 0.749 0.338 0.667
C4 0.251 0.338 0.667
C5 0.500 0.666 0.329
C6 0.000 0.665 0.343
Cu1 0.254 0.705 0.040
Cu2 0.251 0.316 0.287
Cu3 0.746 0.705 0.040
Cu4 0.756 0.981 0.677
Cu5 0.749 0.316 0.287
Cu6 0.244 0.981 0.677
Li1 0.000 0.034 0.382
Li2 0.000 0.621 0.659
Li3 0.500 0.621 0.652
Li4 0.500 0.346 0.964

=====

4.
# GGA-PBEsol LiCu3C3O9, optimized geometry
# Symmetry: Pm (6)
# Total DFT energy (no corrections), eV per atom: -6.74
# Spin magnetization, μB per cell: 4.1
# Formation energy without anion corrections, eV/atom: -1.045
data_LiCu3C3O9
_cell_length_a 6.013
_cell_length_b 7.915
_cell_length_c 7.951
_cell_angle_alpha 117.98
_cell_angle_beta 90.00
_cell_angle_gamma 90.00
_space_group_name_H-M_alt 'P 1'
_space_group_IT_number 1
loop_
_space_group_symop_operation_xyz
'x,y,z'
loop_
_atom_site_label
_atom_site_fract_x
_atom_site_fract_y
_atom_site_fract_z
Cu1 0.752 0.346 0.031
Cu2 0.248 0.346 0.031
Cu3 0.285 0.672 0.720
Cu4 0.715 0.672 0.720
Cu5 0.758 0.962 0.283
Cu6 0.242 0.962 0.283
O1 0.251 0.428 0.834
O2 0.500 0.093 0.205
O3 0.000 0.060 0.169
O4 0.000 0.769 0.232
O5 0.746 0.406 0.547
O6 0.500 0.149 0.950
O7 0.500 0.849 0.913
O8 0.749 0.428 0.834
O9 0.254 0.406 0.547
O10 0.232 0.137 0.575
O11 0.500 0.501 0.244
O12 0.000 0.732 0.496
O13 0.000 0.807 0.871
O14 0.500 0.747 0.543
O15 0.500 0.802 0.289
O16 0.768 0.137 0.575
O17 0.000 0.110 0.915
O18 0.000 0.476 0.205
C1 0.245 0.319 0.653
C2 0.000 0.662 0.318
C3 0.000 0.990 0.984
C4 0.500 0.032 0.020
C5 0.500 0.685 0.362
C6 0.755 0.319 0.653
Li1 0.500 0.359 0.382
Li2 0.000 0.009 0.643

=====

5.
# GGA-PBEsol LiCuCO3, optimized geometry
# Symmetry: Ibca (73)
# Total DFT energy (no corrections), eV per atom: -6.62
# Spin magnetization, μB per cell: 0.0
# Formation energy without anion corrections, eV/atom: -1.338
data_LiCuCO3
_cell_length_a 5.321
_cell_length_b 5.560
_cell_length_c 9.300
_cell_angle_alpha 107.39
_cell_angle_beta 106.62
_cell_angle_gamma 90.00
_space_group_name_H-M_alt 'P 1'
_space_group_IT_number 1
loop_
_space_group_symop_operation_xyz
'x,y,z'
loop_
_atom_site_label
_atom_site_fract_x
_atom_site_fract_y
_atom_site_fract_z
O1 0.782 0.532 0.565
O2 0.570 0.263 0.788
O3 0.281 0.237 0.212
O4 0.070 0.525 0.788
O5 0.930 0.475 0.212
O6 0.219 0.025 0.788
O7 0.218 0.468 0.435
O8 0.719 0.763 0.788
O9 0.781 0.975 0.212
O10 0.282 0.032 0.565
O11 0.718 0.968 0.435
O12 0.430 0.737 0.212
Li1 0.002 0.750 0.500
Li2 0.498 0.250 0.500
Li3 0.998 0.250 0.500
Li4 0.502 0.750 0.500
C1 0.360 0.110 0.720
C2 0.140 0.390 0.280
C3 0.640 0.890 0.280
C4 0.860 0.610 0.720
Cu1 0.250 0.636 0.000
Cu2 0.750 0.364 0.000
Cu3 0.250 0.136 0.000
Cu4 0.750 0.864 0.000

=====

6.
# GGA-PBEsol LiCu2C4O10, optimized geometry
# Symmetry: Cc (9)
# Total DFT energy (no corrections), eV per atom: -7.13
# Spin magnetization, μB per cell: 2.0
# Formation energy without anion corrections, eV/atom: -1.150
data_LiCu2C4O10
_cell_length_a 6.899
_cell_length_b 6.899
_cell_length_c 9.963
_cell_angle_alpha 72.35
_cell_angle_beta 72.35
_cell_angle_gamma 85.23
_space_group_name_H-M_alt 'P 1'
_space_group_IT_number 1
loop_
_space_group_symop_operation_xyz
'x,y,z'
loop_
_atom_site_label
_atom_site_fract_x
_atom_site_fract_y
_atom_site_fract_z
O1 0.799 0.419 0.813
O2 0.591 0.212 0.669
O3 0.658 0.934 0.911
O4 0.419 0.799 0.313
O5 0.934 0.658 0.411
O6 0.935 0.816 0.781
O7 0.752 0.263 0.054
O8 0.212 0.591 0.169
O9 0.600 0.710 0.482
O10 0.816 0.935 0.281
O11 0.264 0.398 0.012
O12 0.064 0.264 0.577
O13 0.710 0.600 0.982
O14 0.275 0.734 0.926
O15 0.263 0.752 0.554
O16 0.264 0.064 0.077
O17 0.734 0.275 0.426
O18 0.211 0.121 0.754
O19 0.398 0.264 0.512
O20 0.121 0.211 0.254
C1 0.786 0.772 0.385
C2 0.762 0.416 0.944
C3 0.218 0.213 0.624
C4 0.416 0.762 0.444
C5 0.213 0.218 0.124
C6 0.772 0.786 0.885
C7 0.248 0.583 0.041
C8 0.583 0.248 0.541
Cu1 0.237 0.732 0.748
Cu2 0.154 0.836 0.253
Cu3 0.836 0.154 0.753
Cu4 0.732 0.237 0.248
Li1 0.025 0.382 0.382
Li2 0.382 0.025 0.882

=====

Please write out number 4 again, unchanged.
# GGA-PBEsol LiCu3C3O9, optimized geometry
# Symmetry: Pm (6)
# Total DFT energy (no corrections), eV per atom: -6.74
# Spin magnetization, μB per cell: 4.1
# Formation energy without anion corrections, eV/atom: -1.045
data_LiCu3C3O9
_cell_length_a 6.013
_cell_length_b 7.915
_cell_length_c 7.951
_cell_angle_alpha 117.98
_cell_angle_beta 90.00
_cell_angle_gamma 90.00
_space_group_name_H-M_alt 'P 1'
_space_group_IT_number 1
loop_
_space_group_symop_operation_xyz
'x,y,z'
loop_
_atom_site_label
_atom_site_fract_x
_atom_site_fract_y
_atom_site_fract_z
Cu1 0.752 0.346 0.031
Cu2 0.248 0.346 0.031
Cu3 0.285 0.672 0.720
Cu4 0.715 0.672 0.720
Cu5 0.758 0.962 0.283
Cu6 0.242 0.962 0.283
O1 0.251 0.428 0.834
O2 0.500 0.093 0.205
O3 0.000 0.060 0.169
O4 0.000 0.769 0.232
O5 0.746 0.406 0.547
O6 0.500 0.149 0.950
O7 0.500 0.849 0.913
O8 0.749 0.428 0.834
O9 0.254 0.406 0.547
O10 0.232 0.137 0.575
O11 0.500 0.501 0.244
O12 0.000 0.732 0.496
O13 0.000 0.807 0.871
O14 0.500 0.747 0.543
O15 0.500 0.802 0.289
O16 0.768 0.137 0.575
O17 0.000 0.110 0.915
O18 0.000 0.476 0.205
C1 0.245 0.319 0.653
C2 0.000 0.662 0.318
C3 0.000 0.990 0.984
C4 0.500 0.032 0.020
C5 0.500 0.685 0.362
C6 0.755 0.319 0.653
Li1 0.500 0.359 0.382
Li2 0.000 0.009 0.643

=====

- Among the records above, which one has the lowest formation energy without anion corrections?
  number 1